This record from Alexandria via LeMat-Bulk describes an optimized crystal structure of K3MgTe2. The functional is GGA-PBE.

Structure (POSCAR):
```
K3MgTe2
1.0
-4.0701 7.9301 4.2880
4.0701 -7.9301 4.2880
4.0701 7.9301 -4.2880
K Mg Te
6 2 4
direct
0.0138 0.7500 0.2638
0.2500 0.2500 0.0000
0.4862 0.7500 0.7362
0.5138 0.2500 0.2638
0.7500 0.7500 0.0000
0.9862 0.2500 0.7362
0.0000 0.5000 0.5000
0.5000 0.0000 0.5000
0.1250 0.2422 0.3673
0.3750 0.7422 0.1172
0.6250 0.2578 0.8828
0.8750 0.7578 0.6327
```

## Properties
SG: No. 72
Energy relative to the elements, uncorrected, kJ/mol of atoms: -69.56
Total moment, μB per cell: 0.22
Total energy, eV per formula unit: -15.50

***

This record from Alexandria via LeMat-Bulk describes an optimized crystal structure of K2MgTe2. The functional is GGA-PBE.

Structure (POSCAR):
```
K2MgTe2
1.0
8.2903 0.0000 0.0000
0.0000 8.2903 0.0000
0.0000 0.0000 5.1836
K Mg Te
4 2 4
direct
0.1355 0.3645 0.0000
0.3645 0.8645 0.0000
0.6355 0.1355 0.0000
0.8645 0.6355 0.0000
0.0000 0.0000 0.5000
0.5000 0.5000 0.5000
0.1798 0.6798 0.5000
0.3202 0.1798 0.5000
0.6798 0.8202 0.5000
0.8202 0.3202 0.5000
```

## Properties
SG: No. 127
Energy relative to the elements, uncorrected, kJ/mol of atoms: -73.14
Total moment, μB per cell: 0.00
Total energy, eV per formula unit: -13.86

***

This record from Alexandria via LeMat-Bulk describes an optimized crystal structure of K2MgTe. The functional is GGA-PBE.

Structure (POSCAR):
```
K2MgTe
1.0
-2.5931 2.5931 5.6515
2.5931 -2.5931 5.6515
2.5931 2.5931 -5.6515
K Mg Te
2 1 1
direct
0.0000 0.0000 0.0000
0.7500 0.2500 0.5000
0.2500 0.7500 0.5000
0.5000 0.5000 0.0000
```

## Properties
SG: No. 119
Energy relative to the elements, uncorrected, kJ/mol of atoms: -35.53
Total moment, μB per cell: 0.00
Total energy, eV per formula unit: -8.40
Offset from the most stable computed form, meV per atom: 165

***

This record from Alexandria via LeMat-Bulk describes an optimized crystal structure of KMgTe. The functional is GGA-PBE.

Structure (POSCAR):
```
KMgTe
1.0
5.4749 0.0000 0.0000
0.0000 5.4749 0.0000
0.0000 0.0000 7.4915
K Mg Te
2 2 2
direct
0.2500 0.2500 0.1533
0.7500 0.7500 0.8467
0.2500 0.7500 0.5000
0.7500 0.2500 0.5000
0.2500 0.2500 0.6747
0.7500 0.7500 0.3253
```

## Properties
SG: No. 129
Energy relative to the elements, uncorrected, kJ/mol of atoms: -52.39
Total moment, μB per cell: 0.00
Total energy, eV per formula unit: -7.46
Offset from the most stable computed form, meV per atom: 10

***

This record from Alexandria via LeMat-Bulk describes an optimized crystal structure of K2MgTe. The functional is GGA-PBE.

Structure (POSCAR):
```
K2MgTe
1.0
3.8841 -3.9077 0.0000
3.8841 3.9077 0.0000
0.0000 0.0000 4.8497
K Mg Te
2 1 1
direct
0.0000 0.5000 0.0000
0.5000 0.0000 0.0000
0.0000 0.0000 0.5000
0.5000 0.5000 0.5000
```

## Properties
SG: No. 65
Energy relative to the elements, uncorrected, kJ/mol of atoms: -40.05
Total moment, μB per cell: 0.00
Total energy, eV per formula unit: -8.59
Offset from the most stable computed form, meV per atom: 118

***

This record from Alexandria via LeMat-Bulk describes an optimized crystal structure of KMgTe. The functional is GGA-PBE.

Structure (POSCAR):
```
KMgTe
1.0
0.0000 3.9307 3.9307
3.9307 0.0000 3.9307
3.9307 3.9307 0.0000
K Mg Te
1 1 1
direct
0.0000 0.0000 0.0000
0.5000 0.5000 0.5000
0.7500 0.7500 0.7500
```

## Properties
SG: No. 216
Energy relative to the elements, uncorrected, kJ/mol of atoms: -38.52
Total moment, μB per cell: 0.00
Total energy, eV per formula unit: -7.03
Offset from the most stable computed form, meV per atom: 154

***

This record from Alexandria via LeMat-Bulk describes an optimized crystal structure of KMgTe2. The functional is GGA-PBE.

Structure (POSCAR):
```
KMgTe2
1.0
-1.7536 2.1890 8.6267
1.7536 -2.1890 8.6267
1.7536 2.1890 -8.6267
K Mg Te
1 1 2
direct
0.0000 0.0000 0.0000
0.7541 0.2541 0.5000
0.3340 0.8340 0.5000
0.6204 0.6204 0.0000
```

## Properties
SG: No. 44
Energy relative to the elements, uncorrected, kJ/mol of atoms: -65.27
Total moment, μB per cell: 0.00
Total energy, eV per formula unit: -11.68

***

This record from Alexandria via LeMat-Bulk describes an optimized crystal structure of KMgTe. The functional is GGA-PBE.

Structure (POSCAR):
```
KMgTe
1.0
0.0000 3.8467 3.8467
3.8467 0.0000 3.8467
3.8467 3.8467 0.0000
K Mg Te
1 1 1
direct
0.0000 0.0000 0.0000
0.7500 0.7500 0.7500
0.2500 0.2500 0.2500
```

## Properties
SG: No. 216
Energy relative to the elements, uncorrected, kJ/mol of atoms: -11.80
Total moment, μB per cell: 0.00
Total energy, eV per formula unit: -6.20
Offset from the most stable computed form, meV per atom: 431

***

This record from Alexandria via LeMat-Bulk describes an optimized crystal structure of KMgTe2. The functional is GGA-PBE.

Structure (POSCAR):
```
KMgTe2
1.0
3.6972 0.0000 0.0000
0.0000 4.7764 0.0000
-1.8429 0.0000 8.5089
K Mg Te
1 1 2
direct
0.0000 0.0000 0.0000
0.7760 0.5000 0.5491
0.3982 0.5000 0.7954
0.6835 0.0000 0.3654
```

## Properties
SG: No. 6
Energy relative to the elements, uncorrected, kJ/mol of atoms: -71.36
Total moment, μB per cell: 0.00
Total energy, eV per formula unit: -11.93

***

This record from Alexandria via LeMat-Bulk describes an optimized crystal structure of KMgTe2. The functional is GGA-PBE.

Structure (POSCAR):
```
KMgTe2
1.0
2.2421 -3.1754 0.0000
2.2421 3.1754 0.0000
0.0000 0.0000 9.0065
K Mg Te
1 1 2
direct
0.0000 0.0000 0.0000
0.0000 0.0000 0.5000
0.5000 0.5000 0.2902
0.5000 0.5000 0.7098
```

## Properties
SG: No. 65
Energy relative to the elements, uncorrected, kJ/mol of atoms: -57.76
Total moment, μB per cell: 0.00
Total energy, eV per formula unit: -11.37

***

This record from Alexandria via LeMat-Bulk describes an optimized crystal structure of K2MgTe. The functional is GGA-PBE.

Structure (POSCAR):
```
K2MgTe
1.0
0.0000 4.2517 4.2517
4.2517 0.0000 4.2517
4.2517 4.2517 0.0000
K Mg Te
2 1 1
direct
0.0000 0.0000 0.0000
0.2500 0.2500 0.2500
0.5000 0.5000 0.5000
0.7500 0.7500 0.7500
```

## Properties
SG: No. 216
Energy relative to the elements, uncorrected, kJ/mol of atoms: -29.26
Total moment, μB per cell: 0.00
Total energy, eV per formula unit: -8.14
Offset from the most stable computed form, meV per atom: 230

***

This record from Alexandria via LeMat-Bulk describes an optimized crystal structure of KMgTe2. The functional is GGA-PBE.

Structure (POSCAR):
```
KMgTe2
1.0
2.3776 -2.3952 0.0000
2.3776 2.3952 0.0000
0.0000 0.0000 11.7410
K Mg Te
1 1 2
direct
0.0000 0.0000 0.0000
0.5000 0.5000 0.7254
0.0000 0.0000 0.5580
0.5000 0.5000 0.2210
```

## Properties
SG: No. 35
Energy relative to the elements, uncorrected, kJ/mol of atoms: -15.18
Total moment, μB per cell: 0.00
Total energy, eV per formula unit: -9.60

***

This record from Alexandria via LeMat-Bulk describes an optimized crystal structure of KMgTe2. The functional is GGA-PBE.

Structure (POSCAR):
```
KMgTe2
1.0
0.0000 3.9575 3.9575
3.9575 0.0000 3.9575
3.9575 3.9575 0.0000
K Mg Te
1 1 2
direct
0.0000 0.0000 0.0000
0.2500 0.2500 0.2500
0.5000 0.5000 0.5000
0.7500 0.7500 0.7500
```

## Properties
SG: No. 216
Energy relative to the elements, uncorrected, kJ/mol of atoms: -12.86
Total moment, μB per cell: 0.00
Total energy, eV per formula unit: -9.51

***

This record from Alexandria via LeMat-Bulk describes an optimized crystal structure of K3MgTe. The functional is GGA-PBE.

Structure (POSCAR):
```
K3MgTe
1.0
6.7155 0.0000 0.0000
0.0000 6.7155 0.0000
0.0000 0.0000 6.7155
K Mg Te
3 1 1
direct
0.0000 0.0000 0.5000
0.0000 0.5000 0.0000
0.5000 0.0000 0.0000
0.5000 0.5000 0.5000
0.0000 0.0000 0.0000
```

## Properties
SG: No. 221
Energy relative to the elements, uncorrected, kJ/mol of atoms: -29.03
Total moment, μB per cell: 0.73
Total energy, eV per formula unit: -9.53
Offset from the most stable computed form, meV per atom: 0

***

This record from Alexandria via LeMat-Bulk describes an optimized crystal structure of K4MgTe. The functional is GGA-PBE.

Structure (POSCAR):
```
K4MgTe
1.0
0.0000 5.1940 5.1940
5.1940 0.0000 5.1940
5.1940 5.1940 0.0000
K Mg Te
4 1 1
direct
0.3766 0.3766 0.3766
0.3766 0.3766 0.8703
0.3766 0.8703 0.3766
0.8703 0.3766 0.3766
0.0000 0.0000 0.0000
0.7500 0.7500 0.7500
```

## Properties
SG: No. 216
Energy relative to the elements, uncorrected, kJ/mol of atoms: 3.43
Total moment, μB per cell: 0.00
Total energy, eV per formula unit: -8.91

***

This record from Alexandria via LeMat-Bulk describes an optimized crystal structure of KMgTe3. The functional is GGA-PBE.

Structure (POSCAR):
```
KMgTe3
1.0
5.6116 0.0000 0.0000
0.0000 5.6116 0.0000
0.0000 0.0000 5.6116
K Mg Te
1 1 3
direct
0.0000 0.0000 0.0000
0.5000 0.5000 0.5000
0.0000 0.5000 0.5000
0.5000 0.0000 0.5000
0.5000 0.5000 0.0000
```

## Properties
SG: No. 221
Energy relative to the elements, uncorrected, kJ/mol of atoms: -32.98
Total moment, μB per cell: 0.00
Total energy, eV per formula unit: -13.83
Offset from the most stable computed form, meV per atom: 0

***

This record from Alexandria via LeMat-Bulk describes an optimized crystal structure of KMgTe. The functional is GGA-PBE.

Structure (POSCAR):
```
KMgTe
1.0
5.0187 0.0000 0.0000
-2.5094 4.3463 0.0000
0.0000 0.0000 5.0837
K Mg Te
1 1 1
direct
0.0000 0.0000 0.0000
0.6667 0.3333 0.4995
0.3333 0.6667 0.5014
```

## Properties
SG: No. 156
Energy relative to the elements, uncorrected, kJ/mol of atoms: -50.43
Total moment, μB per cell: 0.68
Total energy, eV per formula unit: -7.40
Offset from the most stable computed form, meV per atom: 31

***

This record from Alexandria via LeMat-Bulk describes an optimized crystal structure of K4Th3MgTe8. The functional is GGA-PBE.

Structure (POSCAR):
```
K4Th3MgTe8
1.0
4.5113 2.6046 8.3214
-4.5113 2.6046 8.3214
0.0000 -5.2091 8.3214
K Th Mg Te
4 3 1 8
direct
0.0000 0.0000 0.0000
0.0000 0.5000 0.5000
0.5000 0.0000 0.5000
0.5000 0.5000 0.0000
0.0000 0.0000 0.5000
0.0000 0.5000 0.0000
0.5000 0.0000 0.0000
0.5000 0.5000 0.5000
0.2404 0.2404 0.2404
0.2462 0.7319 0.7319
0.2681 0.2681 0.7538
0.2681 0.7538 0.2681
0.7319 0.2462 0.7319
0.7319 0.7319 0.2462
0.7538 0.2681 0.2681
0.7596 0.7596 0.7596
```

## Properties
SG: No. 166
Energy relative to the elements, uncorrected, kJ/mol of atoms: -110.09
Total moment, μB per cell: 0.00
Total energy, eV per formula unit: -71.63

***

This record from Alexandria via LeMat-Bulk describes an optimized crystal structure of K2ThMgTe4. The functional is GGA-PBE.

Structure (POSCAR):
```
K2ThMgTe4
1.0
7.7537 0.0000 0.0000
0.0000 4.5449 0.0000
-2.6934 0.0000 8.2445
K Th Mg Te
2 1 1 4
direct
0.0000 0.0000 0.0000
0.5000 0.5000 0.0000
0.0000 0.5000 0.5000
0.5000 0.0000 0.5000
0.2401 0.0000 0.7139
0.2748 0.5000 0.3012
0.7252 0.5000 0.6988
0.7599 0.0000 0.2861
```

## Properties
SG: No. 10
Energy relative to the elements, uncorrected, kJ/mol of atoms: -108.17
Total moment, μB per cell: 0.00
Total energy, eV per formula unit: -32.74

***

This record from Alexandria via LeMat-Bulk describes an optimized crystal structure of KMgTi2Te. The functional is GGA-PBE.

Structure (POSCAR):
```
KMgTi2Te
1.0
5.2507 0.0000 0.0000
0.0000 5.2507 0.0000
0.0000 0.0000 6.2258
K Mg Ti Te
1 1 2 1
direct
0.0000 0.0000 0.0000
0.5000 0.5000 0.0000
0.0000 0.5000 0.5000
0.5000 0.0000 0.5000
0.0000 0.0000 0.5000
```

## Properties
SG: No. 123
Energy relative to the elements, uncorrected, kJ/mol of atoms: 60.43
Total moment, μB per cell: 4.01
Total energy, eV per formula unit: -18.49